The following is a DFT calculation (PBE) of a relaxed AcBePd crystal.

Results
SG: No. 187
DFT formation energy, eV/atom: -0.4242

Cell: 4.220 4.220 4.360 Å, 90.00 90.00 120.00°
Fractional positions:
1 Ac 0.000 0.000 0.000
2 Be 0.333 0.667 0.500
3 Pd 0.667 0.333 0.500



The following is a DFT calculation (PBE) of a relaxed PuB5C2 crystal.

Results
SG: No. 71
DFT formation energy, eV/atom: 0.3988

Cell: 4.698 4.698 4.698 Å, 123.13 115.32 91.48°
Fractional positions:
1 Pu 0.000 0.000 0.000
2 B 0.000 0.500 0.500
3 B 0.374 0.168 0.795
4 B 0.374 0.579 0.205
5 B 0.626 0.421 0.795
6 B 0.626 0.832 0.205
7 C 0.239 0.739 0.500
8 C 0.761 0.261 0.500



The following is a DFT calculation (PBE) of a relaxed Tb8Tl4In3 crystal.

Results
SG: No. 12
DFT formation energy, eV/atom: -0.1615

Cell: 8.911 8.911 6.929 Å, 112.82 112.82 89.67°
Fractional positions:
1 Tb 0.153 0.847 0.000
2 Tb 0.243 0.243 0.997
3 Tb 0.244 0.244 0.491
4 Tb 0.251 0.749 0.500
5 Tb 0.749 0.251 0.500
6 Tb 0.756 0.756 0.509
7 Tb 0.757 0.757 0.003
8 Tb 0.847 0.153 0.000
9 Tl 0.000 0.000 0.500
10 Tl 0.000 0.500 0.500
11 Tl 0.500 0.000 0.500
12 Tl 0.500 0.500 0.000
13 In 0.000 0.500 0.000
14 In 0.500 0.000 0.000
15 In 0.500 0.500 0.500



The following is a DFT calculation (PBE) of a relaxed InAu4N2 crystal.

Results
SG: No. 139
Uncorrected formation energy, eV per atom: 0.76

Cell: 6.681 6.681 6.681 Å, 128.70 128.70 75.49°
Fractional positions:
1 In 0.000 0.000 0.000
2 Au 0.000 0.500 0.500
3 Au 0.243 0.243 0.000
4 Au 0.500 0.000 0.500
5 Au 0.757 0.757 0.000
6 N 0.447 0.447 0.000
7 N 0.553 0.553 0.000